No. 1
SrPm2Ga: optimized geometry, PBE-GGA.

Its crystal system is tetragonal. The calculation puts the total energy at -3.63 eV per atom. The offset from the most stable computed form comes out at 108.8 meV per atom. For the total moment, the calculation gives 0.00 μB/atom.

The structure belongs to space group P4/mmm (No. 123); the cell edges are 4.9915, 4.9915 and 4.9059 Å and the angles 90.00°, 90.00° and 90.00°. The distinct sites, in fractional coordinates, are Sr at (0.0000, 0.0000, 0.0000), Pm at (0.0000, 0.5000, 0.5000) and Ga at (0.5000, 0.5000, 0.0000).



No. 2
SrPmGa: optimized geometry, PBE-GGA.

Its crystal system is orthorhombic. The calculation puts the total energy at -3.40 eV per atom. The offset from the most stable computed form comes out at 27.9 meV per atom. For the total moment, the calculation gives 0.00 μB/atom.

The structure belongs to space group Amm2 (No. 38); the cell edges are 13.6349, 5.3738 and 5.3725 Å and the angles 90.00°, 90.00° and 90.00°. The distinct sites, in fractional coordinates, are Sr at (0.1444, 0.0000, 0.0000), Pm at (0.3772, 0.0000, 0.5015), Ga at (0.0000, 0.0000, 0.4998) and Ga at (0.5000, 0.0000, 0.0017).



No. 3
SrPm2Ga4: optimized geometry, PBE-GGA.

Its crystal system is orthorhombic. The calculation puts the total energy at -3.87 eV per atom. For the total moment, the calculation gives 0.00 μB/atom.

The structure belongs to space group Immm (No. 71); the cell edges are 4.2336, 4.5663 and 18.7830 Å and the angles 90.00°, 90.00° and 90.00°. The distinct sites, in fractional coordinates, are Sr at (0.0000, 0.0000, 0.0000), Pm at (0.0000, 0.5000, 0.3156), Ga at (0.0000, 0.0000, 0.4322) and Ga at (0.0000, 0.5000, 0.1482).



No. 4
SrPm2Ga: optimized geometry, PBE-GGA.

Its crystal system is tetragonal. The calculation puts the total energy at -3.74 eV per atom. The offset from the most stable computed form comes out at 0.0 meV per atom. For the total moment, the calculation gives 0.00 μB/atom.

The structure belongs to space group P4/mmm (No. 123); the cell edges are 3.7500, 3.7500 and 9.6648 Å and the angles 90.00°, 90.00° and 90.00°. The distinct sites, in fractional coordinates, are Sr at (0.0000, 0.0000, 0.0000), Pm at (0.5000, 0.5000, 0.3226) and Ga at (0.0000, 0.0000, 0.5000).